The following is a PBE calculation of PrSi4Ni2Os after structural relaxation, from Alexandria via LeMat-Bulk.

a b c (Å): 9.156 9.156 9.156
angles (deg): 25.18 25.18 25.18
Fractional positions:
Pr: 0.000 0.000 0.000
Si: 0.126 0.126 0.126
Si: 0.406 0.406 0.406
Si: 0.594 0.594 0.594
Si: 0.874 0.874 0.874
Ni: 0.231 0.231 0.231
Ni: 0.769 0.769 0.769
Os: 0.500 0.500 0.500

- SG = No. 166
- uncorrected formation energy (kJ/mol of atoms) = -42.1

---

The following is a PBE calculation of PrSi3NiOs after structural relaxation, from Alexandria via LeMat-Bulk.

a b c (Å): 6.949 6.949 5.692
angles (deg): 90.00 90.00 126.58
Fractional positions:
Pr: 0.244 0.756 0.750
Pr: 0.756 0.244 0.250
Si: 0.196 0.196 0.000
Si: 0.196 0.196 0.500
Si: 0.279 0.721 0.250
Si: 0.721 0.279 0.750
Si: 0.804 0.804 0.000
Si: 0.804 0.804 0.500
Ni: 0.109 0.891 0.250
Ni: 0.891 0.109 0.750
Os: 0.459 0.541 0.250
Os: 0.541 0.459 0.750

- SG = No. 63
- uncorrected formation energy (kJ/mol of atoms) = -36.2

---

The following is a PBE calculation of TbPrNiOs after structural relaxation, from Alexandria via LeMat-Bulk.

a b c (Å): 4.918 4.918 4.918
angles (deg): 60.00 60.00 60.00
Fractional positions:
Tb: 0.000 0.000 0.000
Pr: 0.500 0.500 0.500
Ni: 0.250 0.250 0.250
Os: 0.750 0.750 0.750

- formation energy from the elements (eV per atom) = -0.12
- SG = No. 216

---

The following is a PBE calculation of PrYNiOs after structural relaxation, from Alexandria via LeMat-Bulk.

a b c (Å): 4.915 4.915 4.915
angles (deg): 60.00 60.00 60.00
Fractional positions:
Pr: 0.000 0.000 0.000
Y: 0.500 0.500 0.500
Ni: 0.250 0.250 0.250
Os: 0.750 0.750 0.750

- formation energy from the elements (eV per atom) = -0.12
- SG = No. 216

---

The following is a PBE calculation of Ni2OsPt after structural relaxation, from Alexandria via LeMat-Bulk.

a b c (Å): 4.482 4.482 4.482
angles (deg): 129.83 129.83 73.68
Fractional positions:
Ni: 0.250 0.750 0.500
Ni: 0.750 0.250 0.500
Os: 0.000 0.000 0.000
Pt: 0.500 0.500 0.000

- formation energy from the elements (eV per atom) = 0.10
- SG = No. 139

---

The following is a PBE calculation of NiOs4Pt after structural relaxation, from Alexandria via LeMat-Bulk.

a b c (Å): 5.109 5.109 5.109
angles (deg): 60.00 60.00 60.00
Fractional positions:
Ni: 0.000 0.000 0.000
Os: 0.375 0.375 0.375
Os: 0.375 0.375 0.875
Os: 0.375 0.875 0.375
Os: 0.875 0.375 0.375
Pt: 0.750 0.750 0.750

- formation energy from the elements (eV per atom) = 0.89
- SG = No. 216

---

The following is a PBE calculation of NiOs2Pt after structural relaxation, from Alexandria via LeMat-Bulk.

a b c (Å): 9.269 9.269 9.269
angles (deg): 156.93 156.93 32.86
Fractional positions:
Ni: 0.000 0.000 0.000
Ni: 0.750 0.250 0.500
Os: 0.089 0.625 0.964
Os: 0.375 0.339 0.464
Os: 0.661 0.125 0.036
Os: 0.875 0.911 0.536
Pt: 0.250 0.750 0.500
Pt: 0.500 0.500 0.000

- formation energy from the elements (eV per atom) = 0.56
- SG = No. 122
- polymorph energy (0 for the lowest one) (meV/atom) = 514

---

The following is a PBE calculation of NiOsPt2 after structural relaxation, from Alexandria via LeMat-Bulk.

a b c (Å): 4.696 4.696 4.696
angles (deg): 131.62 131.62 70.84
Fractional positions:
Ni: 0.000 0.000 0.000
Os: 0.250 0.750 0.500
Pt: 0.500 0.500 0.000
Pt: 0.750 0.250 0.500

- formation energy from the elements (eV per atom) = 0.09
- SG = No. 119
- polymorph energy (0 for the lowest one) (meV/atom) = 52

---

The following is a PBE calculation of NiOsPt2 after structural relaxation, from Alexandria via LeMat-Bulk.

a b c (Å): 2.755 2.755 7.485
angles (deg): 90.00 90.00 90.00
Fractional positions:
Ni: 0.000 0.000 0.000
Os: 0.000 0.000 0.500
Pt: 0.500 0.500 0.244
Pt: 0.500 0.500 0.756

- formation energy from the elements (eV per atom) = 0.06
- SG = No. 123
- polymorph energy (0 for the lowest one) (meV/atom) = 20

---

The following is a PBE calculation of NiOs2Pt after structural relaxation, from Alexandria via LeMat-Bulk.

a b c (Å): 2.666 2.666 9.236
angles (deg): 90.00 90.00 119.13
Fractional positions:
Ni: 0.000 0.000 0.000
Os: 0.500 0.500 0.235
Os: 0.500 0.500 0.765
Pt: 0.000 0.000 0.500

- formation energy from the elements (eV per atom) = 0.44
- SG = No. 65
- polymorph energy (0 for the lowest one) (meV/atom) = 391

---

The following is a PBE calculation of NiOs2Pt after structural relaxation, from Alexandria via LeMat-Bulk.

a b c (Å): 2.673 2.673 9.195
angles (deg): 90.00 90.00 118.85
Fractional positions:
Ni: 0.000 0.000 0.000
Os: 0.000 0.000 0.486
Os: 0.500 0.500 0.235
Pt: 0.500 0.500 0.756

- formation energy from the elements (eV per atom) = 0.40
- SG = No. 35
- polymorph energy (0 for the lowest one) (meV/atom) = 354

---

The following is a PBE calculation of NiOsPt2 after structural relaxation, from Alexandria via LeMat-Bulk.

a b c (Å): 2.732 3.779 5.520
angles (deg): 90.00 90.00 90.00
Fractional positions:
Ni: 0.000 0.000 0.000
Os: 0.500 0.500 0.231
Pt: 0.000 0.000 0.475
Pt: 0.500 0.500 0.755

- formation energy from the elements (eV per atom) = 0.08
- SG = No. 25
- polymorph energy (0 for the lowest one) (meV/atom) = 41

---

The following is a PBE calculation of NiOsPt2 after structural relaxation, from Alexandria via LeMat-Bulk.

a b c (Å): 4.339 4.339 4.339
angles (deg): 60.00 60.00 60.00
Fractional positions:
Ni: 0.000 0.000 0.000
Os: 0.250 0.250 0.250
Pt: 0.500 0.500 0.500
Pt: 0.750 0.750 0.750

- formation energy from the elements (eV per atom) = 0.34
- SG = No. 216
- polymorph energy (0 for the lowest one) (meV/atom) = 299

---

The following is a PBE calculation of NiOs2Pt after structural relaxation, from Alexandria via LeMat-Bulk.

a b c (Å): 2.703 4.537 4.671
angles (deg): 90.00 90.00 90.00
Fractional positions:
Ni: 0.000 0.000 0.000
Os: 0.000 0.500 0.500
Os: 0.500 0.000 0.500
Pt: 0.500 0.500 0.000

- formation energy from the elements (eV per atom) = 0.41
- SG = No. 47
- polymorph energy (0 for the lowest one) (meV/atom) = 366

---

The following is a PBE calculation of NiOsPt2 after structural relaxation, from Alexandria via LeMat-Bulk.

a b c (Å): 4.680 4.680 4.738
angles (deg): 99.77 99.77 33.88
Fractional positions:
Ni: 0.000 0.000 0.000
Os: 0.263 0.263 0.755
Pt: 0.513 0.513 0.524
Pt: 0.752 0.752 0.239

- formation energy from the elements (eV per atom) = 0.04
- SG = No. 8
- polymorph energy (0 for the lowest one) (meV/atom) = 0

---

The following is a PBE calculation of NiOsPt3 after structural relaxation, from Alexandria via LeMat-Bulk.

a b c (Å): 4.796 4.796 4.796
angles (deg): 90.00 90.00 90.00
Fractional positions:
Ni: 0.000 0.000 0.000
Os: 0.500 0.500 0.500
Pt: 0.000 0.500 0.500
Pt: 0.500 0.000 0.500
Pt: 0.500 0.500 0.000

- formation energy from the elements (eV per atom) = 1.64
- SG = No. 221
- polymorph energy (0 for the lowest one) (meV/atom) = 96

---

The following is a PBE calculation of Ni2OsPt after structural relaxation, from Alexandria via LeMat-Bulk.

a b c (Å): 5.138 5.138 5.138
angles (deg): 149.75 126.75 62.47
Fractional positions:
Ni: 0.242 0.242 0.000
Ni: 0.758 0.758 0.000
Os: 0.000 0.500 0.500
Pt: 0.500 0.000 0.500

- formation energy from the elements (eV per atom) = 0.25
- SG = No. 71

---

The following is a PBE calculation of Ni2OsPt after structural relaxation, from Alexandria via LeMat-Bulk.

a b c (Å): 4.006 5.080 5.080
angles (deg): 30.11 90.00 90.00
Fractional positions:
Ni: 0.000 0.000 0.000
Ni: 0.500 0.131 0.131
Os: 0.000 0.735 0.735
Pt: 0.500 0.386 0.386

- formation energy from the elements (eV per atom) = 0.11
- SG = No. 38

---

The following is a PBE calculation of NiOs2Pt after structural relaxation, from Alexandria via LeMat-Bulk.

a b c (Å): 2.725 2.725 7.484
angles (deg): 90.00 90.00 90.00
Fractional positions:
Ni: 0.000 0.000 0.000
Os: 0.000 0.000 0.482
Os: 0.500 0.500 0.236
Pt: 0.500 0.500 0.752

- formation energy from the elements (eV per atom) = 0.07
- SG = No. 99
- polymorph energy (0 for the lowest one) (meV/atom) = 19

---

The following is a PBE calculation of Ni2OsPt after structural relaxation, from Alexandria via LeMat-Bulk.

a b c (Å): 8.571 8.571 8.571
angles (deg): 18.03 18.03 18.03
Fractional positions:
Ni: 0.247 0.247 0.247
Ni: 0.753 0.753 0.753
Os: 0.500 0.500 0.500
Pt: 0.000 0.000 0.000

- formation energy from the elements (eV per atom) = 0.02
- SG = No. 166

---

The following is a PBE calculation of NiOsPt after structural relaxation, from Alexandria via LeMat-Bulk.

a b c (Å): 2.736 3.721 8.099
angles (deg): 90.00 90.00 90.00
Fractional positions:
Ni: 0.250 0.250 0.242
Ni: 0.750 0.750 0.758
Os: 0.250 0.250 0.922
Os: 0.750 0.750 0.078
Pt: 0.250 0.250 0.595
Pt: 0.750 0.750 0.405

- formation energy from the elements (eV per atom) = 0.00
- SG = No. 59
- polymorph energy (0 for the lowest one) (meV/atom) = 0

---

The following is a PBE calculation of NiOsPt2 after structural relaxation, from Alexandria via LeMat-Bulk.

a b c (Å): 5.361 5.361 5.361
angles (deg): 150.56 129.88 59.20
Fractional positions:
Ni: 0.000 0.000 0.000
Os: 0.220 0.720 0.500
Pt: 0.485 0.485 0.000
Pt: 0.765 0.265 0.500

- formation energy from the elements (eV per atom) = 0.19
- SG = No. 44
- polymorph energy (0 for the lowest one) (meV/atom) = 155

---

The following is a PBE calculation of NiOsPt after structural relaxation, from Alexandria via LeMat-Bulk.

a b c (Å): 7.246 7.004 2.660
angles (deg): 84.41 74.16 21.43
Fractional positions:
Ni: 0.000 0.000 0.000
Os: 0.654 0.654 0.346
Pt: 0.336 0.336 0.664

- formation energy from the elements (eV per atom) = 0.31
- SG = No. 42
- polymorph energy (0 for the lowest one) (meV/atom) = 310

---

The following is a PBE calculation of NiOsPt after structural relaxation, from Alexandria via LeMat-Bulk.

a b c (Å): 4.632 4.632 4.632
angles (deg): 145.95 131.95 60.20
Fractional positions:
Ni: 0.000 0.000 0.000
Os: 0.345 0.345 0.000
Pt: 0.672 0.672 0.000

- formation energy from the elements (eV per atom) = 0.11
- SG = No. 44
- polymorph energy (0 for the lowest one) (meV/atom) = 107

---

The following is a PBE calculation of Ni2OsPt after structural relaxation, from Alexandria via LeMat-Bulk.

a b c (Å): 4.452 4.452 4.711
angles (deg): 99.02 99.02 34.79
Fractional positions:
Ni: 0.246 0.246 0.231
Ni: 0.754 0.754 0.769
Os: 0.500 0.500 0.000
Pt: 0.000 0.000 0.500

- formation energy from the elements (eV per atom) = 0.05
- SG = No. 12

---

The following is a PBE calculation of NiOs2Pt after structural relaxation, from Alexandria via LeMat-Bulk.

a b c (Å): 3.782 3.782 3.895
angles (deg): 90.00 90.00 90.00
Fractional positions:
Ni: 0.000 0.000 0.000
Os: 0.000 0.500 0.500
Os: 0.500 0.000 0.500
Pt: 0.500 0.500 0.000

- formation energy from the elements (eV per atom) = 0.25
- SG = No. 123
- polymorph energy (0 for the lowest one) (meV/atom) = 199

---

The following is a PBE calculation of NiOsPt2 after structural relaxation, from Alexandria via LeMat-Bulk.

a b c (Å): 5.527 5.527 5.527
angles (deg): 103.41 103.41 122.42
Fractional positions:
Ni: 0.000 0.000 0.000
Ni: 0.750 0.250 0.500
Os: 0.250 0.750 0.500
Os: 0.500 0.500 0.000
Pt: 0.119 0.625 0.994
Pt: 0.375 0.369 0.494
Pt: 0.631 0.125 0.006
Pt: 0.875 0.881 0.506

- formation energy from the elements (eV per atom) = 0.60
- SG = No. 122
- polymorph energy (0 for the lowest one) (meV/atom) = 564

---

The following is a PBE calculation of Ni2OsPt after structural relaxation, from Alexandria via LeMat-Bulk.

a b c (Å): 2.670 2.670 7.287
angles (deg): 90.00 90.00 90.00
Fractional positions:
Ni: 0.000 0.000 0.240
Ni: 0.000 0.000 0.760
Os: 0.500 0.500 0.000
Pt: 0.500 0.500 0.500

- formation energy from the elements (eV per atom) = 0.02
- SG = No. 123

---

The following is a PBE calculation of NiOsPt2 after structural relaxation, from Alexandria via LeMat-Bulk.

a b c (Å): 4.359 4.359 4.359
angles (deg): 60.00 60.00 60.00
Fractional positions:
Ni: 0.000 0.000 0.000
Os: 0.500 0.500 0.500
Pt: 0.250 0.250 0.250
Pt: 0.750 0.750 0.750

- formation energy from the elements (eV per atom) = 0.34
- SG = No. 225
- polymorph energy (0 for the lowest one) (meV/atom) = 305